A plane-wave DFT calculation with GGA-PBEsol was carried out for an optimized crystal structure of KTl2Cd.

The structure in CIF format:
```
data_KTl2Cd
_chemical_formula_sum 'K2 Tl4 Cd2'
_space_group_name_H-M_alt 'I m m 2'
_space_group_IT_number 44
_cell_length_a 4.457
_cell_length_b 5.328
_cell_length_c 9.866
_cell_angle_alpha 90.00
_cell_angle_beta 90.00
_cell_angle_gamma 90.00
loop_
_space_group_symop_operation_xyz
'x,y,z'
'-x,-y,z'
'-x,y,z'
'x,-y,z'
'x+1/2,y+1/2,z+1/2'
'-x+1/2,-y+1/2,z+1/2'
'-x+1/2,y+1/2,z+1/2'
'x+1/2,-y+1/2,z+1/2'
loop_
_atom_site_label
_atom_site_fract_x
_atom_site_fract_y
_atom_site_fract_z
K1 0.000 0.000 0.000
Tl1 0.000 0.000 0.512
Tl2 0.000 0.500 0.770
Cd1 0.000 0.500 0.235
```

Summary:
As for the crystal system: orthorhombic. The value obtained for the density of states at the Fermi level is 3.87 states/eV per cell. For the energy, the calculation gives -1.88 eV/atom. The formation energy comes out at 0.01 eV per atom. Its magnetization is 0.00 μB per cell.